1.
This record from the Open Quantum Materials Database describes a relaxed RbTl2Cd2 crystal. The functional is PBE.

Cell: 5.5083 5.5083 13.1388 Å, 90.00 90.00 120.00°
Fractional positions:
Rb1 0.0000 0.0000 0.2500
Rb2 0.0000 0.0000 0.7500
Tl1 0.0000 0.0000 0.0000
Tl2 0.0000 0.0000 0.5000
Tl3 0.3333 0.6667 0.2500
Tl4 0.6667 0.3333 0.7500
Cd1 0.3333 0.6667 0.5669
Cd2 0.3333 0.6667 0.9331
Cd3 0.6667 0.3333 0.0669
Cd4 0.6667 0.3333 0.4331

Values from the calculation:
- energy (eV per atom) = -1.26

=====

2.
This record from the Open Quantum Materials Database describes a relaxed MgZn2Ni crystal. The functional is PBE.

Cell: 4.2879 4.2879 4.2879 Å, 60.00 60.00 60.00°
Fractional positions:
Mg1 0.0000 0.0000 0.0000
Zn1 0.5000 0.5000 0.5000
Zn2 0.7500 0.7500 0.7500
Ni1 0.2500 0.2500 0.2500

Values from the calculation:
- energy (eV per atom) = -2.55
- total moment (μB/cell) = 0.00

=====

3.
This record from the Open Quantum Materials Database describes a relaxed KDyNO crystal. The functional is PBE.

Cell: 6.7312 8.7834 6.0383 Å, 90.00 90.00 90.00°
Fractional positions:
K1 0.0717 0.1218 0.0000
K2 0.4283 0.1218 0.5000
K3 0.5717 0.8782 0.0000
K4 0.9283 0.8782 0.5000
Dy1 0.0924 0.6009 0.9493
Dy2 0.4076 0.6009 0.4493
Dy3 0.5924 0.3991 0.9493
Dy4 0.9076 0.3991 0.4493
N1 0.0216 0.1769 0.5352
N2 0.4784 0.1769 0.0352
N3 0.5216 0.8231 0.5352
N4 0.9784 0.8231 0.0352
O1 0.1108 0.5654 0.5907
O2 0.3892 0.5654 0.0907
O3 0.6108 0.4346 0.5907
O4 0.8892 0.4346 0.0907

Values from the calculation:
- E above lowest polymorph (meV per atom) = 112
- total moment (μB/cell) = 4.00

=====

4.
This record from the Open Quantum Materials Database describes a relaxed Nb2Al2Sn crystal. The functional is PBE.

Cell: 7.0815 7.0815 7.0815 Å, 148.84 148.84 44.65°
Fractional positions:
Nb1 0.0973 0.0973 0.0000
Nb2 0.9027 0.9027 0.0000
Al1 0.2500 0.7500 0.5000
Al2 0.7500 0.2500 0.5000
Sn1 0.5000 0.5000 0.0000

Values from the calculation:
- E above lowest polymorph (meV per atom) = 0
- total moment (μB/cell) = 0.01

=====

5.
This record from the Open Quantum Materials Database describes a relaxed HfNiB crystal. The functional is PBE.

Cell: 4.6347 4.6347 4.6347 Å, 118.79 118.76 92.14°
Fractional positions:
Hf1 0.3717 0.1217 0.2500
Hf2 0.6283 0.8783 0.7500
Ni1 0.0000 0.5000 0.5000
Ni2 0.5000 0.5000 0.0000
B1 0.0000 0.0000 0.5000
B2 0.0000 0.5000 0.0000

Values from the calculation:
- energy (eV per atom) = -7.56
- total moment (μB/cell) = 0.04

=====

6.
This record from the Open Quantum Materials Database describes a relaxed LaMgScNi crystal. The functional is PBE.

Cell: 4.8973 4.8973 4.8973 Å, 60.00 60.00 60.00°
Fractional positions:
La1 0.0000 0.0000 0.0000
Mg1 0.2500 0.2500 0.2500
Sc1 0.7500 0.7500 0.7500
Ni1 0.5000 0.5000 0.5000

Values from the calculation:
- E above lowest polymorph (meV per atom) = 137
- total moment (μB/cell) = 0.00